This record from Alexandria via LeMat-Bulk describes a geometry-optimized Fe3B structure. The functional is PBE.

a = 4.702 Å, b = 4.702 Å, c = 4.380 Å
α = 90.00°, β = 90.00°, γ = 120.00°
Positions (direct):
Fe 0.000 0.306 0.000
Fe 0.000 0.694 0.500
Fe 0.306 0.000 0.000
Fe 0.306 0.306 0.500
Fe 0.694 0.000 0.500
Fe 0.694 0.694 0.000
B 0.333 0.667 0.750
B 0.667 0.333 0.250

Properties
E_form	11	kJ/mol of formula units
spin magnetization	5.964	μB/f.u.
calculated total energy	-0.587	Ry per atom
space group	P6_322

This record from Alexandria via LeMat-Bulk describes a geometry-optimized AcDy2Pb2 structure. The functional is PBE.

a = 4.875 Å, b = 4.875 Å, c = 7.842 Å
α = 108.03°, β = 108.03°, γ = 90.03°
Positions (direct):
Ac 0.000 0.000 0.000
Dy 0.250 0.750 0.500
Dy 0.750 0.250 0.500
Pb 0.391 0.391 0.785
Pb 0.609 0.609 0.215

Properties
E_form	-188	kJ/mol of formula units
spin magnetization	0.001	μB/f.u.
calculated total energy	-0.333	Ry per atom
space group	C2/m